# MgCd2Pd2 (GGA-PBE, relaxed)
# DFT formation energy	-0.324	eV/atom
# total energy	-30.86	eV/cell
data_MgCd2Pd2
_chemical_formula_sum 'Mg2 Cd4 Pd4'
_cell_length_a 7.7562
_cell_length_b 7.7562
_cell_length_c 3.1504
_cell_angle_alpha 90.00
_cell_angle_beta 90.00
_cell_angle_gamma 90.00
_space_group_name_H-M_alt 'P 4/m b m'
_space_group_IT_number 127
_space_group_name_Hall '-P 4 2ab'
loop_
_atom_site_label
_atom_site_fract_x
_atom_site_fract_y
_atom_site_fract_z
Mg1 0.0000 0.0000 0.0000
Cd1 0.1319 0.3681 0.0000
Pd1 0.1673 0.6673 0.5000

# Tb2Ge3RuPt4 (GGA-PBE, relaxed)
# DFT formation energy	-0.728	eV/atom
# total energy	-63.83	eV/cell
data_Tb2Ge3RuPt4
_chemical_formula_sum 'Tb2 Ge3 Ru1 Pt4'
_cell_length_a 4.0517
_cell_length_b 4.0517
_cell_length_c 11.2833
_cell_angle_alpha 90.00
_cell_angle_beta 90.00
_cell_angle_gamma 90.00
_space_group_name_H-M_alt 'P -4 m 2'
_space_group_IT_number 115
loop_
_space_group_symop_operation_xyz
'x,y,z'
'y,-x,-z'
'-x,-y,z'
'-y,x,-z'
'-x,y,z'
'-y,-x,-z'
'x,-y,z'
'y,x,-z'
loop_
_atom_site_label
_atom_site_fract_x
_atom_site_fract_y
_atom_site_fract_z
Tb1 0.0000 0.5000 0.2490
Ge1 0.0000 0.0000 0.0000
Ge2 0.0000 0.5000 0.6359
Ru1 0.5000 0.5000 0.0000
Pt1 0.0000 0.0000 0.5000
Pt2 0.0000 0.5000 0.8493
Pt3 0.5000 0.5000 0.5000